# 1
MnTeBr2 | PBE | relaxed

* space-group type: Pm
* N(E_F): 0.571 states/eV per cell
* ΔE to the lowest computed polymorph: 0.0 kJ per mole of atoms

Cell lengths 3.627, 6.044, 7.482 Å; angles 56.87, 90.00, 90.00 degrees
Last column: magnetic moment on the atom in μB.
Fractional positions:
Te (0.500, 0.578, 0.633)  -0.46
Br (0.000, 0.011, 0.794)  -0.02
Br (0.500, 0.353, 0.177)  0.01
Mn (0.000, 0.559, 0.895)  3.52

---

# 2
MnTeBr2 | PBE | relaxed

* space-group type: Cmmm
* N(E_F): 2.409 states/eV per cell
* ΔE to the lowest computed polymorph: 71.9 kJ per mole of atoms

Cell lengths 5.544, 5.544, 3.443 Å; angles 90.00, 90.00, 105.36 degrees
Last column: magnetic moment on the atom in μB.
Fractional positions:
Mn (0.500, 0.000, 0.500)  4.30
Br (0.500, 0.500, 0.000)  0.02
Br (0.000, 0.000, 0.000)  0.02
Te (0.000, 0.500, 0.500)  -0.04

---

# 3
MnTe2Br | PBE | relaxed

* space-group type: P4mm
* N(E_F): 2.390 states/eV per cell
* ΔE to the lowest computed polymorph: 25.4 kJ per mole of atoms

Cell lengths 3.231, 3.231, 11.799 Å; angles 90.00, 90.00, 90.00 degrees
Last column: magnetic moment on the atom in μB.
Fractional positions:
Te (0.000, 0.000, 0.911)  -0.01
Te (0.500, 0.500, 0.249)  -0.01
Br (0.000, 0.000, 0.603)  0.15
Mn (0.500, 0.500, 0.737)  4.12

---

# 4
Mn2TeBr | PBE | relaxed

* space-group type: Immm
* N(E_F): 2.670 states/eV per cell
* ΔE to the lowest computed polymorph: 27.0 kJ per mole of atoms

Cell lengths 5.296, 5.296, 5.296 Å; angles 134.83, 107.14, 90.02 degrees
Last column: magnetic moment on the atom in μB.
Fractional positions:
Te (0.750, 0.250, 0.500)  0.08
Mn (0.009, 0.009, 0.000)  4.14
Mn (0.491, 0.491, 0.000)  4.14
Br (0.250, 0.750, 0.500)  0.10

---

# 5
Mn2TeBr | PBE | relaxed

* space-group type: F-43m
* N(E_F): 4.610 states/eV per cell
* ΔE to the lowest computed polymorph: 71.8 kJ per mole of atoms

Cell lengths 5.052, 5.052, 5.052 Å; angles 60.00, 60.00, 60.00 degrees
Last column: magnetic moment on the atom in μB.
Fractional positions:
Mn (0.000, 0.000, 0.000)  4.01
Mn (0.750, 0.750, 0.750)  4.17
Te (0.250, 0.250, 0.250)  0.04
Br (0.500, 0.500, 0.500)  0.13

---

# 6
MnTe2Br | PBE | relaxed

* space-group type: P2/m
* N(E_F): 1.441 states/eV per cell
* ΔE to the lowest computed polymorph: 0.0 kJ per mole of atoms

Cell lengths 4.086, 5.524, 6.623 Å; angles 52.70, 90.00, 90.00 degrees
Last column: magnetic moment on the atom in μB.
Fractional positions:
Mn (0.500, 0.750, 0.750)  3.89
Te (0.000, 0.936, 0.911)  -0.08
Te (0.000, 0.564, 0.589)  -0.08
Br (0.500, 0.250, 0.250)  0.07

---

# 7
MnTe2Br | PBE | relaxed

* space-group type: C2/m
* N(E_F): 2.291 states/eV per cell
* ΔE to the lowest computed polymorph: 41.8 kJ per mole of atoms

Cell lengths 5.308, 5.308, 5.324 Å; angles 68.36, 68.36, 105.51 degrees
Last column: magnetic moment on the atom in μB.
Fractional positions:
Mn (0.000, 0.500, 0.500)  4.30
Te (0.000, 0.000, 0.000)  0.01
Te (0.500, 0.500, 0.000)  0.01
Br (0.500, 0.000, 0.500)  0.02

---

# 8
MnTeBr2 | PBE | relaxed

* space-group type: Imm2
* N(E_F): 1.481 states/eV per cell
* ΔE to the lowest computed polymorph: 4.6 kJ per mole of atoms

Cell lengths 7.941, 7.941, 7.941 Å; angles 153.05, 137.75, 50.83 degrees
Last column: magnetic moment on the atom in μB.
Fractional positions:
Br (0.350, 0.850, 0.500)  0.04
Br (0.072, 0.072, 0.000)  0.01
Te (0.607, 0.107, 0.500)  -0.12
Mn (0.471, 0.471, 0.000)  4.03

---

# 9
MnTe2Br | PBE | relaxed

* space-group type: P4/mmm
* N(E_F): 4.559 states/eV per cell
* ΔE to the lowest computed polymorph: 65.9 kJ per mole of atoms

Cell lengths 5.601, 5.601, 3.231 Å; angles 90.00, 90.00, 90.00 degrees
Last column: magnetic moment on the atom in μB.
Fractional positions:
Mn (0.000, 0.500, 0.500)  4.11
Br (0.500, 0.000, 0.500)  -0.07
Te (0.000, 0.000, 0.000)  -0.09
Te (0.500, 0.500, 0.000)  -0.09

---

# 10
MnTeBr2 | PBE | relaxed

* space-group type: Immm
* N(E_F): 3.654 states/eV per cell
* ΔE to the lowest computed polymorph: 17.5 kJ per mole of atoms

Cell lengths 7.380, 7.380, 7.380 Å; angles 154.27, 126.93, 59.89 degrees
Last column: magnetic moment on the atom in μB.
Fractional positions:
Br (0.101, 0.101, 0.000)  0.06
Br (0.399, 0.399, 0.000)  0.06
Te (0.750, 0.250, 0.500)  0.04
Mn (0.250, 0.750, 0.500)  4.16

---

# 11
Mn2TeBr | PBE | relaxed

* space-group type: P4/mmm
* N(E_F): 4.417 states/eV per cell
* ΔE to the lowest computed polymorph: 31.9 kJ per mole of atoms

Cell lengths 3.453, 5.002, 5.002 Å; angles 90.00, 90.00, 90.00 degrees
Last column: magnetic moment on the atom in μB.
Fractional positions:
Mn (0.000, 0.000, 0.000)  4.04
Mn (0.000, 0.500, 0.500)  4.04
Br (0.500, 0.000, 0.500)  0.15
Te (0.500, 0.500, 0.000)  0.01

---

# 12
Mn2TeBr | PBE | relaxed

* space-group type: Fm-3m
* N(E_F): 5.077 states/eV per cell
* ΔE to the lowest computed polymorph: 30.9 kJ per mole of atoms

Cell lengths 4.998, 4.998, 4.998 Å; angles 60.00, 60.00, 60.00 degrees
Last column: magnetic moment on the atom in μB.
Fractional positions:
Te (0.500, 0.500, 0.500)  0.06
Br (0.000, 0.000, 0.000)  0.16
Mn (0.750, 0.750, 0.750)  4.12
Mn (0.250, 0.250, 0.250)  4.12

---

# 13
Mn2Te2Br | PBE | relaxed

* space-group type: I4/mmm
* N(E_F): 4.745 states/eV per cell

Cell lengths 3.779, 3.779, 8.599 Å; angles 77.31, 77.31, 90.00 degrees
Last column: magnetic moment on the atom in μB.
Fractional positions:
Te (0.643, 0.643, 0.715)  -0.15
Te (0.357, 0.357, 0.285)  -0.15
Mn (0.750, 0.250, 0.500)  2.06
Mn (0.250, 0.750, 0.500)  2.06
Br (0.000, 0.000, 0.000)  -0.05

---

# 14
MnTeBr2 | PBE | relaxed

* space-group type: F-43m
* N(E_F): 3.033 states/eV per cell
* ΔE to the lowest computed polymorph: 63.5 kJ per mole of atoms

Cell lengths 5.188, 5.188, 5.188 Å; angles 60.00, 60.00, 60.00 degrees
Last column: magnetic moment on the atom in μB.
Fractional positions:
Te (0.750, 0.750, 0.750)  -0.44
Mn (0.500, 0.500, 0.500)  4.18
Br (0.000, 0.000, 0.000)  -0.29
Br (0.250, 0.250, 0.250)  -0.10

---

# 15
Mn2TeBr | PBE | relaxed

* space-group type: C2/m
* N(E_F): 2.929 states/eV per cell
* ΔE to the lowest computed polymorph: 26.8 kJ per mole of atoms

Cell lengths 5.473, 5.473, 4.033 Å; angles 68.77, 68.77, 89.06 degrees
Last column: magnetic moment on the atom in μB.
Fractional positions:
Br (0.000, 0.500, 0.500)  0.10
Mn (0.500, 0.500, 0.000)  4.17
Mn (0.000, 0.000, 0.000)  4.17
Te (0.500, 0.000, 0.500)  0.08

---

# 16
Mn2TeBr | PBE | relaxed

* space-group type: Imm2
* N(E_F): 2.886 states/eV per cell
* ΔE to the lowest computed polymorph: 5.9 kJ per mole of atoms

Cell lengths 8.081, 8.081, 8.081 Å; angles 152.64, 153.23, 38.65 degrees
Last column: magnetic moment on the atom in μB.
Fractional positions:
Mn (0.944, 0.944, 0.000)  3.67
Mn (0.826, 0.326, 0.500)  -3.89
Br (0.251, 0.751, 0.500)  -0.03
Te (0.478, 0.478, 0.000)  -0.02

---

# 17
MnTeBr2 | PBE | relaxed

* space-group type: R-3m
* N(E_F): 1.812 states/eV per cell
* ΔE to the lowest computed polymorph: 3.3 kJ per mole of atoms

Cell lengths 12.901, 12.901, 12.901 Å; angles 16.07, 16.07, 16.07 degrees
Last column: magnetic moment on the atom in μB.
Fractional positions:
Br (0.541, 0.541, 0.541)  0.12
Br (0.959, 0.959, 0.959)  0.12
Mn (0.250, 0.250, 0.250)  4.37
Te (0.750, 0.750, 0.750)  0.20

---

# 18
MnTe2Br | PBE | relaxed

* space-group type: Pm
* N(E_F): 2.116 states/eV per cell
* ΔE to the lowest computed polymorph: 2.2 kJ per mole of atoms

Cell lengths 3.814, 5.018, 7.927 Å; angles 112.40, 90.00, 90.00 degrees
Last column: magnetic moment on the atom in μB.
Fractional positions:
Mn (0.500, 0.717, 0.818)  3.77
Te (0.500, 0.330, 0.007)  -0.05
Te (0.000, 0.878, 0.088)  -0.10
Br (0.000, 0.576, 0.587)  0.05

---

# 19
MnTe2Br | PBE | relaxed

* space-group type: C2/m
* N(E_F): 1.940 states/eV per cell
* ΔE to the lowest computed polymorph: 4.6 kJ per mole of atoms

Cell lengths 4.052, 4.052, 8.061 Å; angles 88.85, 88.85, 57.44 degrees
Last column: magnetic moment on the atom in μB.
Fractional positions:
Te (0.924, 0.924, 0.074)  -0.10
Te (0.576, 0.576, 0.426)  -0.10
Mn (0.250, 0.250, 0.250)  3.27
Br (0.750, 0.750, 0.750)  -0.02

---

# 20
MnTeBr2 | PBE | relaxed

* space-group type: P4mm
* N(E_F): 2.557 states/eV per cell
* ΔE to the lowest computed polymorph: 33.2 kJ per mole of atoms

Cell lengths 3.485, 3.485, 8.829 Å; angles 90.00, 90.00, 90.00 degrees
Last column: magnetic moment on the atom in μB.
Fractional positions:
Te (0.500, 0.500, 0.710)  -0.26
Br (0.000, 0.000, 0.944)  -0.09
Br (0.500, 0.500, 0.334)  0.05
Mn (0.000, 0.000, 0.513)  4.09

---

Number 1: formation energy from raw total energies -350 meV/atom. Number 2: formation energy from raw total energies 394 meV/atom. Number 3: formation energy from raw total energies 18 meV/atom. Number 4: formation energy from raw total energies 215 meV/atom. Number 5: formation energy from raw total energies 679 meV/atom. Number 6: formation energy from raw total energies -245 meV/atom. Number 7: formation energy from raw total energies 187 meV/atom. Number 8: formation energy from raw total energies -303 meV/atom. Number 9: formation energy from raw total energies 437 meV/atom. Number 10: formation energy from raw total energies -169 meV/atom. Number 11: formation energy from raw total energies 266 meV/atom. Number 12: formation energy from raw total energies 255 meV/atom. Number 13: formation energy from raw total energies -73 meV/atom. Number 14: formation energy from raw total energies 307 meV/atom. Number 15: formation energy from raw total energies 213 meV/atom. Number 16: formation energy from raw total energies -4 meV/atom. Number 17: formation energy from raw total energies -316 meV/atom. Number 18: formation energy from raw total energies -223 meV/atom. Number 19: formation energy from raw total energies -198 meV/atom. Number 20: formation energy from raw total energies -6 meV/atom.